[1]
This record from the Alexandria database describes crystalline Cu2TeBr at its relaxed geometry. The functional is GGA-PBE.

Cell and atoms, written as CIF:
```
data_Cu2TeBr
_symmetry_space_group_name_H-M 'P 1'
_symmetry_Int_Tables_number 1
_cell_length_a 3.527
_cell_length_b 3.527
_cell_length_c 6.828
_cell_angle_alpha 90.00
_cell_angle_beta 90.00
_cell_angle_gamma 90.00
loop_
_symmetry_equiv_pos_as_xyz
'x,y,z'
loop_
_atom_site_label
_atom_site_type_symbol
_atom_site_fract_x
_atom_site_fract_y
_atom_site_fract_z
Cu1 Cu 0.000 0.000 0.190
Cu2 Cu 0.000 0.000 0.810
Te1 Te 0.500 0.500 0.000
Br1 Br 0.500 0.500 0.500
```

Values from the calculation:
density of states at the Fermi level = 0.4849 states/eV per atom
calculated total energy = -2.9439 eV/atom
uncorrected formation energy = 1.23 eV/f.u.
space group = P4/mmm

---

[2]
This record from the Alexandria database describes crystalline Cu2TeBr8 at its relaxed geometry. The functional is GGA-PBE.

Cell and atoms, written as CIF:
```
data_Cu2TeBr8
_symmetry_space_group_name_H-M 'P 1'
_symmetry_Int_Tables_number 1
_cell_length_a 8.325
_cell_length_b 8.325
_cell_length_c 6.703
_cell_angle_alpha 94.12
_cell_angle_beta 94.12
_cell_angle_gamma 59.14
loop_
_symmetry_equiv_pos_as_xyz
'x,y,z'
loop_
_atom_site_label
_atom_site_type_symbol
_atom_site_fract_x
_atom_site_fract_y
_atom_site_fract_z
Cu1 Cu 0.168 0.168 0.432
Cu2 Cu 0.832 0.832 0.568
Te1 Te 0.000 0.000 0.000
Br1 Br 0.146 0.693 0.743
Br2 Br 0.155 0.155 0.794
Br3 Br 0.307 0.854 0.257
Br4 Br 0.327 0.327 0.433
Br5 Br 0.673 0.673 0.567
Br6 Br 0.693 0.146 0.743
Br7 Br 0.845 0.845 0.206
Br8 Br 0.854 0.307 0.257
```

Values from the calculation:
density of states at the Fermi level = 1.3638 states/eV per atom
calculated total energy = -2.4662 eV/atom
uncorrected formation energy = -2.41 eV/f.u.
space group = C2/m

---

[3]
This record from the Alexandria database describes crystalline Cu2TeBr at its relaxed geometry. The functional is GGA-PBE.

Cell and atoms, written as CIF:
```
data_Cu2TeBr
_symmetry_space_group_name_H-M 'P 1'
_symmetry_Int_Tables_number 1
_cell_length_a 4.014
_cell_length_b 4.014
_cell_length_c 7.061
_cell_angle_alpha 90.00
_cell_angle_beta 90.00
_cell_angle_gamma 120.00
loop_
_symmetry_equiv_pos_as_xyz
'x,y,z'
loop_
_atom_site_label
_atom_site_type_symbol
_atom_site_fract_x
_atom_site_fract_y
_atom_site_fract_z
Cu1 Cu 0.000 0.000 0.000
Cu2 Cu 0.333 0.667 0.503
Te1 Te 0.000 0.000 0.647
Br1 Br 0.333 0.667 0.147
```

Values from the calculation:
density of states at the Fermi level = 0.4187 states/eV per atom
calculated total energy = -3.3888 eV/atom
uncorrected formation energy = -0.55 eV/f.u.
space group = P3m1

---

[4]
This record from the Alexandria database describes crystalline Cu2TeBr6 at its relaxed geometry. The functional is GGA-PBE.

Cell and atoms, written as CIF:
```
data_Cu2TeBr6
_symmetry_space_group_name_H-M 'P 1'
_symmetry_Int_Tables_number 1
_cell_length_a 9.885
_cell_length_b 9.885
_cell_length_c 7.655
_cell_angle_alpha 101.71
_cell_angle_beta 101.71
_cell_angle_gamma 82.15
loop_
_symmetry_equiv_pos_as_xyz
'x,y,z'
loop_
_atom_site_label
_atom_site_type_symbol
_atom_site_fract_x
_atom_site_fract_y
_atom_site_fract_z
Cu1 Cu 0.210 0.258 0.286
Cu2 Cu 0.258 0.210 0.786
Cu3 Cu 0.742 0.790 0.214
Cu4 Cu 0.790 0.742 0.714
Te1 Te 0.403 0.597 0.750
Te2 Te 0.597 0.403 0.250
Br1 Br 0.138 0.146 0.987
Br2 Br 0.146 0.138 0.487
Br3 Br 0.164 0.620 0.833
Br4 Br 0.308 0.468 0.348
Br5 Br 0.380 0.836 0.667
Br6 Br 0.468 0.308 0.848
Br7 Br 0.532 0.692 0.152
Br8 Br 0.620 0.164 0.333
Br9 Br 0.692 0.532 0.652
Br10 Br 0.836 0.380 0.167
Br11 Br 0.854 0.862 0.513
Br12 Br 0.862 0.854 0.013
```

Values from the calculation:
density of states at the Fermi level = 0.2836 states/eV per atom
calculated total energy = -2.6536 eV/atom
uncorrected formation energy = -2.51 eV/f.u.
space group = C2/c

---

[5]
This record from the Alexandria database describes crystalline Cu2TeBr at its relaxed geometry. The functional is GGA-PBE.

Cell and atoms, written as CIF:
```
data_Cu2TeBr
_symmetry_space_group_name_H-M 'P 1'
_symmetry_Int_Tables_number 1
_cell_length_a 8.197
_cell_length_b 3.728
_cell_length_c 6.540
_cell_angle_alpha 90.00
_cell_angle_beta 99.11
_cell_angle_gamma 90.00
loop_
_symmetry_equiv_pos_as_xyz
'x,y,z'
loop_
_atom_site_label
_atom_site_type_symbol
_atom_site_fract_x
_atom_site_fract_y
_atom_site_fract_z
Cu1 Cu 0.000 0.000 0.000
Cu2 Cu 0.210 0.500 0.073
Cu3 Cu 0.500 0.500 0.000
Cu4 Cu 0.710 0.000 0.073
Te1 Te 0.280 0.000 0.826
Te2 Te 0.780 0.500 0.826
Br1 Br 0.067 0.500 0.353
Br2 Br 0.567 0.000 0.353
```

Values from the calculation:
density of states at the Fermi level = 0.7422 states/eV per atom
calculated total energy = -3.3312 eV/atom
uncorrected formation energy = -0.32 eV/f.u.
space group = Cm

---

[6]
This record from the Alexandria database describes crystalline CuTe6Br2 at its relaxed geometry. The functional is GGA-PBE.

Cell and atoms, written as CIF:
```
data_CuTe6Br2
_symmetry_space_group_name_H-M 'P 1'
_symmetry_Int_Tables_number 1
_cell_length_a 9.047
_cell_length_b 9.047
_cell_length_c 8.873
_cell_angle_alpha 117.37
_cell_angle_beta 117.37
_cell_angle_gamma 69.58
loop_
_symmetry_equiv_pos_as_xyz
'x,y,z'
loop_
_atom_site_label
_atom_site_type_symbol
_atom_site_fract_x
_atom_site_fract_y
_atom_site_fract_z
Cu1 Cu 0.231 0.769 0.750
Cu2 Cu 0.769 0.231 0.250
Te1 Te 0.015 0.171 0.130
Te2 Te 0.047 0.437 0.846
Te3 Te 0.171 0.015 0.630
Te4 Te 0.299 0.684 0.406
Te5 Te 0.316 0.701 0.094
Te6 Te 0.437 0.047 0.346
Te7 Te 0.563 0.953 0.654
Te8 Te 0.684 0.299 0.906
Te9 Te 0.701 0.316 0.594
Te10 Te 0.829 0.985 0.370
Te11 Te 0.953 0.563 0.154
Te12 Te 0.985 0.829 0.870
Br1 Br 0.245 0.456 0.606
Br2 Br 0.456 0.245 0.106
Br3 Br 0.544 0.755 0.894
Br4 Br 0.755 0.544 0.394
```

Values from the calculation:
density of states at the Fermi level = 0.4037 states/eV per atom
calculated total energy = -2.9346 eV/atom
uncorrected formation energy = -0.12 eV/f.u.
space group = C2/c

---

[7]
This record from the Alexandria database describes crystalline CuTe2Br2 at its relaxed geometry. The functional is GGA-PBE.

Cell and atoms, written as CIF:
```
data_CuTe2Br2
_symmetry_space_group_name_H-M 'P 1'
_symmetry_Int_Tables_number 1
_cell_length_a 4.781
_cell_length_b 4.781
_cell_length_c 13.719
_cell_angle_alpha 90.00
_cell_angle_beta 90.00
_cell_angle_gamma 90.00
loop_
_symmetry_equiv_pos_as_xyz
'x,y,z'
loop_
_atom_site_label
_atom_site_type_symbol
_atom_site_fract_x
_atom_site_fract_y
_atom_site_fract_z
Cu1 Cu 0.000 0.000 0.000
Cu2 Cu 0.500 0.500 0.500
Te1 Te 0.000 0.000 0.402
Te2 Te 0.000 0.000 0.598
Te3 Te 0.500 0.500 0.098
Te4 Te 0.500 0.500 0.902
Br1 Br 0.000 0.500 0.250
Br2 Br 0.000 0.500 0.750
Br3 Br 0.500 0.000 0.250
Br4 Br 0.500 0.000 0.750
```

Values from the calculation:
density of states at the Fermi level = 0.8500 states/eV per atom
calculated total energy = -2.1539 eV/atom
uncorrected formation energy = 2.96 eV/f.u.
space group = I4/mmm

---

[8]
This record from the Alexandria database describes crystalline CuTeBr2 at its relaxed geometry. The functional is GGA-PBE.

Cell and atoms, written as CIF:
```
data_CuTeBr2
_symmetry_space_group_name_H-M 'P 1'
_symmetry_Int_Tables_number 1
_cell_length_a 3.679
_cell_length_b 7.421
_cell_length_c 9.080
_cell_angle_alpha 90.00
_cell_angle_beta 90.00
_cell_angle_gamma 90.00
loop_
_symmetry_equiv_pos_as_xyz
'x,y,z'
loop_
_atom_site_label
_atom_site_type_symbol
_atom_site_fract_x
_atom_site_fract_y
_atom_site_fract_z
Cu1 Cu 0.000 0.000 0.000
Cu2 Cu 0.500 0.500 0.000
Te1 Te 0.000 0.500 0.196
Te2 Te 0.500 0.000 0.196
Br1 Br 0.000 0.000 0.444
Br2 Br 0.000 0.500 0.835
Br3 Br 0.500 0.000 0.835
Br4 Br 0.500 0.500 0.444
```

Values from the calculation:
density of states at the Fermi level = 0.3146 states/eV per atom
calculated total energy = -2.7397 eV/atom
uncorrected formation energy = -0.38 eV/f.u.
space group = Cmm2

---

[9]
This record from the Alexandria database describes crystalline Cu2TeBr at its relaxed geometry. The functional is GGA-PBE.

Cell and atoms, written as CIF:
```
data_Cu2TeBr
_symmetry_space_group_name_H-M 'P 1'
_symmetry_Int_Tables_number 1
_cell_length_a 3.814
_cell_length_b 3.826
_cell_length_c 7.016
_cell_angle_alpha 90.00
_cell_angle_beta 90.00
_cell_angle_gamma 90.00
loop_
_symmetry_equiv_pos_as_xyz
'x,y,z'
loop_
_atom_site_label
_atom_site_type_symbol
_atom_site_fract_x
_atom_site_fract_y
_atom_site_fract_z
Cu1 Cu 0.000 0.000 0.000
Cu2 Cu 0.500 0.500 0.001
Te1 Te 0.500 0.000 0.248
Br1 Br 0.000 0.500 0.750
```

Values from the calculation:
density of states at the Fermi level = 0.4448 states/eV per atom
calculated total energy = -3.4169 eV/atom
uncorrected formation energy = -0.66 eV/f.u.
space group = Pmm2

---

[10]
This record from the Alexandria database describes crystalline TlCuTeBr6 at its relaxed geometry. The functional is GGA-PBE.

Cell and atoms, written as CIF:
```
data_TlCuTeBr6
_symmetry_space_group_name_H-M 'P 1'
_symmetry_Int_Tables_number 1
_cell_length_a 6.796
_cell_length_b 7.242
_cell_length_c 7.501
_cell_angle_alpha 87.16
_cell_angle_beta 63.15
_cell_angle_gamma 83.65
loop_
_symmetry_equiv_pos_as_xyz
'x,y,z'
loop_
_atom_site_label
_atom_site_type_symbol
_atom_site_fract_x
_atom_site_fract_y
_atom_site_fract_z
Tl1 Tl 0.000 0.000 0.000
Cu1 Cu 0.612 0.498 0.778
Te1 Te 0.321 0.501 0.359
Br1 Br 0.022 0.791 0.386
Br2 Br 0.313 0.318 0.041
Br3 Br 0.405 0.684 0.632
Br4 Br 0.594 0.211 0.385
Br5 Br 0.646 0.683 0.041
Br6 Br 0.965 0.316 0.633
```

Values from the calculation:
calculated total energy = -2.6160 eV/atom
uncorrected formation energy = -3.90 eV/f.u.
space group = P1